Compound: Mg2HgPb
Source: Alexandria via LeMat-Bulk
Functional: GGA-PBEsol
Structure: optimized geometry

Calculated formation energy = -0.5 eV/f.u.
Energy above the lowest structure with this stoichiometry = 65 meV per atom

Lattice parameters (Å, degrees): 6.1083 6.1083 6.1083 144.29 134.66 59.00
Closest atoms and distances in Å follow each position.
Sites, in units of the cell vectors:
Mg 0.0000 0.0000 0.0000  4 Hg 3.01
Mg 0.7316 0.2316 0.5000  2 Hg 2.95, 4 Pb 3.03
Hg 0.5169 0.5169 0.0000  6 Mg 2.95-3.01, 2 Pb 3.25
Pb 0.2675 0.7675 0.5000  4 Mg 3.03, 2 Hg 3.25

=====

Compound: Mg2HgPb
Source: Alexandria via LeMat-Bulk
Functional: GGA-PBEsol
Structure: optimized geometry

Calculated formation energy = -0.7 eV/f.u.
Energy above the lowest structure with this stoichiometry = 28 meV per atom

Lattice parameters (Å, degrees): 4.9885 4.9885 3.6655 90.00 90.00 90.00
Closest atoms and distances in Å follow each position.
Sites, in units of the cell vectors:
Mg 0.0000 0.5000 0.0000  4 Hg 3.10, 4 Pb 3.10
Mg 0.5000 0.0000 0.0000  4 Hg 3.10, 4 Pb 3.10
Hg 0.0000 0.0000 0.5000  8 Mg 3.10
Pb 0.5000 0.5000 0.5000  8 Mg 3.10

=====

Compound: Mg2HgPb
Source: Alexandria via LeMat-Bulk
Functional: GGA-PBEsol
Structure: optimized geometry

Calculated formation energy = -0.6 eV/f.u.
Energy above the lowest structure with this stoichiometry = 44 meV per atom

Lattice parameters (Å, degrees): 9.3927 9.3927 9.3927 21.07 21.07 21.07
Closest atoms and distances in Å follow each position.
Sites, in units of the cell vectors:
Mg 0.2433 0.2433 0.2433  3 Hg 2.90, 3 Pb 3.18
Mg 0.7567 0.7567 0.7567  3 Hg 2.90, 3 Pb 3.18
Hg 0.5000 0.5000 0.5000  6 Mg 2.90
Pb 0.0000 0.0000 0.0000  6 Mg 3.18, 6 Pb 3.43

=====

Compound: Mg2HgPb
Source: Alexandria via LeMat-Bulk
Functional: GGA-PBEsol
Structure: optimized geometry

Calculated formation energy = -0.6 eV/f.u.
Energy above the lowest structure with this stoichiometry = 53 meV per atom

Lattice parameters (Å, degrees): 5.7537 5.7537 5.1083 103.06 103.06 34.44
Closest atoms and distances in Å follow each position.
Sites, in units of the cell vectors:
Mg 0.0000 0.0000 0.0000  4 Hg 2.98-3.16, 3 Pb 3.04-3.20
Mg 0.2358 0.2358 0.6576  3 Hg 3.03-3.15, 4 Pb 3.06-3.09
Hg 0.5010 0.5010 0.5221  7 Mg 2.98-3.16
Pb 0.7531 0.7531 0.1706  7 Mg 3.04-3.20, 2 Hg 3.35